1.
Here is a geometry-optimized K2ZrPt structure from the Alexandria database. Energies are from PBE-GGA.

Cell: 3.0268 3.0268 11.9476 Å, 90.00 90.00 90.00°
With the nearest neighbours (Å) after each atom.
Fractional coordinates of all 4 atoms:
K 0.0000 0.0000 0.0483  4 K 3.03, 4 Pt 3.22
K 0.0000 0.0000 0.4517  4 K 3.03, 4 Pt 3.22
Zr 0.5000 0.5000 0.7500  4 Zr 3.03
Pt 0.5000 0.5000 0.2500  4 Pt 3.03, 8 K 3.22

Summary:
ΔE to the lowest computed polymorph = 0.681 eV/atom
Space group = P4/mmm, No. 123
ΔH_f (0 K) = 0.57 eV per atom

---

2.
Here is a geometry-optimized Tl3SiI structure from the Alexandria database. Energies are from PBE-GGA.

Cell: 6.3961 6.3961 6.3961 Å, 90.00 90.00 90.00°
With the nearest neighbours (Å) after each atom.
Fractional coordinates of all 5 atoms:
Tl 0.0000 0.5000 0.0000  2 I 3.20
Tl 0.5000 0.0000 0.0000  2 I 3.20
Tl 0.0000 0.0000 0.5000  2 I 3.20
Si 0.5000 0.5000 0.5000  12 Tl 4.52
I 0.0000 0.0000 0.0000  6 Tl 3.20

Summary:
ΔE to the lowest computed polymorph = 0.650 eV/atom
Space group = Pm-3m, No. 221

---

3.
Here is a geometry-optimized Sc2NbIrC structure from the Alexandria database. Energies are from PBE-GGA.

Cell: 4.6190 3.8809 4.6190 Å, 90.00 90.00 90.00°
With the nearest neighbours (Å) after each atom.
Fractional coordinates of all 5 atoms:
Nb 0.5000 0.5000 0.5000  8 Sc 3.02, 4 Ir 3.27
Sc 0.0000 0.0000 0.5000  2 C 2.31
Ir 0.0000 0.5000 0.0000  2 C 1.94
C 0.0000 0.0000 0.0000  2 Ir 1.94
Sc 0.5000 0.0000 0.0000  2 C 2.31

Summary:
Space group = P4/mmm, No. 123
ΔH_f (0 K) = -0.19 eV per atom

---

Question: Which formula does entry 2 have?
Answer: Tl3SiI